Run a
# Pa2ReRu

A geometry-optimized Pa2ReRu structure (PBE, Alexandria).

Output
crystal system	cubic
symmetry	Fm-3m

Unit cell a=4.870 b=4.870 c=4.870 alpha=60.00 beta=60.00 gamma=60.00
Sites, in units of the cell vectors:
Pa  0.250  0.250  0.250
Pa  0.750  0.750  0.750
Re  0.000  0.000  0.000
Ru  0.500  0.500  0.500

=====

Run b
# Pa2ReRu

A geometry-optimized Pa2ReRu structure (PBE, Alexandria).

Output
crystal system	trigonal
symmetry	R-3m

Unit cell a=6.847 b=6.847 c=6.847 alpha=33.45 beta=33.45 gamma=33.45
Sites, in units of the cell vectors:
Pa  0.250  0.250  0.250
Pa  0.750  0.750  0.750
Re  0.000  0.000  0.000
Ru  0.500  0.500  0.500

=====

Run c
# Pa2ReRu

A geometry-optimized Pa2ReRu structure (PBE, Alexandria).

Output
crystal system	tetragonal
symmetry	P4/mmm

Unit cell a=3.476 b=3.476 c=6.721 alpha=90.00 beta=90.00 gamma=90.00
Sites, in units of the cell vectors:
Pa  0.000  0.000  0.244
Pa  0.000  0.000  0.756
Re  0.500  0.500  0.500
Ru  0.500  0.500  0.000

=====

Of the structures shown above, run b is the least stable.